*P*
! LaBeP2O, optimized geometry, DFT PBE-GGA; values from VASP
! - Symmetry: P4/mmm (123)
&SYSTEM
  ibrav = 0, nat = 5, ntyp = 4
/
ATOMIC_SPECIES
La 138.91 La.upf
Be 9.01 Be.upf
P 30.97 P.upf
O 16.00 O.upf
ATOMIC_POSITIONS angstrom
La 0.0000 0.0000 0.0000
Be 2.8642 2.8642 2.0758
P 0.0000 2.8642 0.0000
P 2.8642 0.0000 0.0000
O 0.0000 0.0000 2.0758
CELL_PARAMETERS angstrom
5.7284 0.0000 0.0000
0.0000 5.7284 0.0000
0.0000 0.0000 4.1515

*Q*
! LaBeP2O, optimized geometry, DFT PBE-GGA; values from VASP
! - Symmetry: P4/mmm (123)
&SYSTEM
  ibrav = 0, nat = 5, ntyp = 4
/
ATOMIC_SPECIES
La 138.91 La.upf
Be 9.01 Be.upf
P 30.97 P.upf
O 16.00 O.upf
ATOMIC_POSITIONS angstrom
La 0.0000 0.0000 0.0000
Be 1.9740 1.9740 2.6264
P 0.0000 1.9740 2.6264
P 1.9740 0.0000 2.6264
O 1.9740 1.9740 0.0000
CELL_PARAMETERS angstrom
3.9480 0.0000 0.0000
0.0000 3.9480 0.0000
0.0000 0.0000 5.2528

Least stable: *P*

*P*
! LaBe3P, optimized geometry, DFT PBE-GGA; values from VASP
! - Symmetry: Pm-3m (221)
&SYSTEM
  ibrav = 0, nat = 5, ntyp = 3
/
ATOMIC_SPECIES
La 138.91 La.upf
Be 9.01 Be.upf
P 30.97 P.upf
ATOMIC_POSITIONS angstrom
La 0.0000 0.0000 0.0000
Be 0.0000 2.1587 2.1587
Be 2.1587 0.0000 2.1587
Be 2.1587 2.1587 0.0000
P 2.1587 2.1587 2.1587
CELL_PARAMETERS angstrom
4.3173 0.0000 0.0000
0.0000 4.3173 0.0000
0.0000 0.0000 4.3173

*Q*
! LaBe3P, optimized geometry, DFT PBE-GGA; values from VASP
! - Symmetry: Pm-3m (221)
&SYSTEM
  ibrav = 0, nat = 5, ntyp = 3
/
ATOMIC_SPECIES
La 138.91 La.upf
Be 9.01 Be.upf
P 30.97 P.upf
ATOMIC_POSITIONS angstrom
La 0.0000 0.0000 0.0000
Be 0.0000 0.0000 2.4594
Be 0.0000 2.4594 0.0000
Be 2.4594 0.0000 0.0000
P 2.4594 2.4594 2.4594
CELL_PARAMETERS angstrom
4.9188 0.0000 0.0000
0.0000 4.9188 0.0000
0.0000 0.0000 4.9188

Least stable: *Q*

*P*
! LaBeP2S, optimized geometry, DFT PBE-GGA; values from VASP
! - Symmetry: P4/mmm (123)
&SYSTEM
  ibrav = 0, nat = 5, ntyp = 4
/
ATOMIC_SPECIES
La 138.91 La.upf
Be 9.01 Be.upf
P 30.97 P.upf
S 32.06 S.upf
ATOMIC_POSITIONS angstrom
La 0.0000 0.0000 0.0000
Be 2.0899 2.0899 2.7075
P 0.0000 2.0899 2.7075
P 2.0899 0.0000 2.7075
S 2.0899 2.0899 0.0000
CELL_PARAMETERS angstrom
4.1798 0.0000 0.0000
0.0000 4.1798 0.0000
0.0000 0.0000 5.4149

*Q*
! LaBeP2S, optimized geometry, DFT PBE-GGA; values from VASP
! - Symmetry: P4/mmm (123)
&SYSTEM
  ibrav = 0, nat = 5, ntyp = 4
/
ATOMIC_SPECIES
La 138.91 La.upf
Be 9.01 Be.upf
P 30.97 P.upf
S 32.06 S.upf
ATOMIC_POSITIONS angstrom
La 0.0000 0.0000 0.0000
Be 2.8221 2.8221 2.6943
P 0.0000 2.8221 0.0000
P 2.8221 0.0000 0.0000
S 0.0000 0.0000 2.6943
CELL_PARAMETERS angstrom
5.6441 0.0000 0.0000
0.0000 5.6441 0.0000
0.0000 0.0000 5.3886

Least stable: *Q*